# 1
Cu2BRh6 after structural relaxation. Source: Alexandria, functional PBE.

Unit cell a=2.725 b=7.123 c=7.123 alpha=120.00 beta=90.00 gamma=90.00
Sites, in units of the cell vectors:
B: 0.000 0.000 0.000
Rh: 0.761 0.683 0.000
Rh: 0.239 0.000 0.317
Rh: 0.239 0.683 0.683
Rh: 0.761 0.000 0.683
Rh: 0.239 0.317 0.000
Rh: 0.761 0.317 0.317
Cu: 0.500 0.667 0.333
Cu: 0.500 0.333 0.667

The calculation puts the magnetization at 0.000 μB/atom. The energy of formation from the pure elements is 230 meV per atom.

# 2
Nd12TlGa6 after structural relaxation. Source: Alexandria, functional PBE.

Unit cell a=9.048 b=9.048 c=9.048 alpha=109.47 beta=109.47 gamma=109.47
Sites, in units of the cell vectors:
Tl: 0.000 0.000 0.000
Nd: 0.190 0.706 0.896
Nd: 0.294 0.484 0.190
Nd: 0.810 0.706 0.516
Nd: 0.706 0.516 0.810
Nd: 0.706 0.896 0.190
Nd: 0.896 0.190 0.706
Nd: 0.104 0.810 0.294
Nd: 0.516 0.810 0.706
Nd: 0.484 0.190 0.294
Nd: 0.190 0.294 0.484
Nd: 0.294 0.104 0.810
Nd: 0.810 0.294 0.104
Ga: 0.880 0.380 0.500
Ga: 0.500 0.120 0.620
Ga: 0.120 0.620 0.500
Ga: 0.380 0.500 0.880
Ga: 0.500 0.880 0.380
Ga: 0.620 0.500 0.120

The calculation puts the magnetization at 0.000 μB/atom. The energy of formation from the pure elements is -358 meV per atom.

# 3
ErHf2S after structural relaxation. Source: Alexandria, functional PBE.

Unit cell a=3.429 b=3.429 c=9.428 alpha=79.52 beta=79.52 gamma=60.00
Sites, in units of the cell vectors:
Er: 0.000 0.000 0.000
Hf: 0.112 0.112 0.664
Hf: 0.888 0.888 0.336
S: 0.500 0.500 0.500

The calculation puts the magnetization at 0.135 μB/atom. For the energy relative to the elements, uncorrected, the calculation gives -0.28 eV per atom.

# 4
Rb3NpCu2S6 after structural relaxation. Source: Alexandria, functional PBE.

Unit cell a=7.287 b=7.287 c=8.524 alpha=90.00 beta=90.00 gamma=120.00
Sites, in units of the cell vectors:
Rb: 0.333 0.667 0.686
Rb: 0.667 0.333 0.314
Rb: 0.000 0.000 0.000
S: 0.161 0.839 0.315
S: 0.321 0.161 0.685
S: 0.839 0.161 0.685
S: 0.839 0.679 0.685
S: 0.679 0.839 0.315
S: 0.161 0.321 0.315
Np: 0.000 0.000 0.500
Cu: 0.333 0.667 0.304
Cu: 0.667 0.333 0.696

The calculation puts the magnetization at 0.016 μB/atom. For the energy relative to the elements, uncorrected, the calculation gives -0.85 eV per atom.

# 5
Ho4Tm5Sc2 after structural relaxation. Source: Alexandria, functional PBE.

Unit cell a=3.420 b=8.929 c=12.110 alpha=111.63 beta=98.12 gamma=90.00
Sites, in units of the cell vectors:
Tm: 0.500 0.000 0.000
Tm: 0.850 0.648 0.699
Tm: 0.150 0.949 0.301
Tm: 0.850 0.051 0.699
Tm: 0.150 0.352 0.301
Sc: 0.270 0.270 0.540
Sc: 0.730 0.730 0.460
Ho: 0.599 0.599 0.198
Ho: 0.401 0.401 0.802
Ho: 0.000 0.693 0.000
Ho: 0.000 0.307 0.000

The calculation puts the magnetization at 0.000 μB/atom. The energy of formation from the pure elements is 279 meV per atom.

# 6
YbS2 after structural relaxation. Source: Alexandria, functional PBE.

Unit cell a=5.599 b=5.599 c=5.599 alpha=60.00 beta=60.00 gamma=60.00
Sites, in units of the cell vectors:
Yb: 0.250 0.250 0.250
Yb: 0.000 0.000 0.000
S: 0.625 0.625 0.125
S: 0.625 0.625 0.625
S: 0.625 0.125 0.625
S: 0.125 0.625 0.625

The calculation puts the magnetization at 0.000 μB/atom. For the energy relative to the elements, uncorrected, the calculation gives -0.27 eV per atom.

# 7
NdHfTe2 after structural relaxation. Source: Alexandria, functional PBE.

Unit cell a=3.922 b=3.922 c=10.190 alpha=78.91 beta=78.91 gamma=60.00
Sites, in units of the cell vectors:
Hf: 0.500 0.500 0.500
Nd: 0.000 0.000 0.000
Te: 0.106 0.106 0.681
Te: 0.894 0.894 0.319

The calculation puts the magnetization at 0.000 μB/atom. For the energy relative to the elements, uncorrected, the calculation gives -0.57 eV per atom.

# 8
Pr6NdSm2Y after structural relaxation. Source: Alexandria, functional PBE.

Unit cell a=9.928 b=9.059 c=9.059 alpha=118.03 beta=94.27 gamma=94.27
Sites, in units of the cell vectors:
Pr: 0.686 0.013 0.568
Pr: 0.554 0.753 0.117
Pr: 0.814 0.432 0.987
Pr: 0.380 0.506 0.295
Pr: 0.880 0.295 0.506
Pr: 0.620 0.494 0.705
Pr: 0.186 0.568 0.013
Pr: 0.120 0.705 0.494
Pr: 0.446 0.247 0.883
Pr: 0.946 0.883 0.247
Pr: 0.054 0.117 0.753
Pr: 0.314 0.987 0.432
Sm: 0.456 0.802 0.704
Sm: 0.544 0.198 0.296
Sm: 0.044 0.296 0.198
Sm: 0.956 0.704 0.802
Nd: 0.750 0.023 0.977
Nd: 0.250 0.977 0.023
Y: 0.750 0.591 0.409
Y: 0.250 0.409 0.591

The calculation puts the magnetization at 0.000 μB/atom. The energy of formation from the pure elements is 108 meV per atom.

# 9
LiAl2Ru after structural relaxation. Source: Alexandria, functional PBE.

Unit cell a=4.266 b=4.266 c=4.266 alpha=60.00 beta=60.00 gamma=60.00
Sites, in units of the cell vectors:
Li: 0.500 0.500 0.500
Al: 0.000 0.000 0.000
Al: 0.750 0.750 0.750
Ru: 0.250 0.250 0.250

The calculation puts the magnetization at 0.000 μB/atom. The energy of formation from the pure elements is -243 meV per atom.

# 10
Cr4Cl after structural relaxation. Source: Alexandria, functional PBE.

Unit cell a=4.256 b=4.256 c=4.256 alpha=90.00 beta=90.00 gamma=90.00
Sites, in units of the cell vectors:
Cr: 0.000 0.000 0.000
Cr: 0.500 0.000 0.500
Cr: 0.000 0.500 0.500
Cr: 0.500 0.500 0.000
Cl: 0.500 0.500 0.500

The calculation puts the magnetization at 0.686 μB/atom. For the energy relative to the elements, uncorrected, the calculation gives 0.95 eV per atom.

# 11
V2NiHPt after structural relaxation. Source: Alexandria, functional PBE.

Unit cell a=3.753 b=3.753 c=3.919 alpha=90.00 beta=90.00 gamma=90.00
Sites, in units of the cell vectors:
Pt: 0.000 0.000 0.500
H: 0.000 0.000 0.000
Ni: 0.500 0.500 0.500
V: 0.000 0.500 0.000
V: 0.500 0.000 0.000

The calculation puts the magnetization at 0.000 μB/atom. The total energy comes out at -6.9083 eV per atom.

# 12
NaErGe2Cl8 after structural relaxation. Source: Alexandria, functional PBE.

Unit cell a=6.659 b=6.280 c=8.243 alpha=89.52 beta=88.53 gamma=87.48
Sites, in units of the cell vectors:
Cl: 0.660 0.720 0.471
Cl: 0.185 0.792 0.232
Cl: 0.815 0.208 0.768
Cl: 0.856 0.250 0.235
Cl: 0.313 0.247 0.969
Cl: 0.687 0.753 0.031
Cl: 0.340 0.280 0.529
Cl: 0.144 0.750 0.765
Ge: 0.464 0.469 0.745
Ge: 0.536 0.531 0.255
Er: 0.000 0.000 0.000
Na: 0.000 0.000 0.500

The calculation puts the magnetization at 0.000 μB/atom. For the energy relative to the elements, uncorrected, the calculation gives -1.44 eV per atom.

# 13
Cs12Cd5Bi3 after structural relaxation. Source: Alexandria, functional PBE.

Unit cell a=19.625 b=19.625 c=19.625 alpha=109.47 beta=109.47 gamma=109.47
Sites, in units of the cell vectors:
Cs: 0.564 0.234 0.139
Cs: 0.639 0.064 0.234
Cs: 0.425 0.064 0.330
Cs: 0.861 0.266 0.436
Cs: 0.330 0.766 0.405
Cs: 0.639 0.575 0.905
Cs: 0.766 0.330 0.905
Cs: 0.436 0.670 0.075
Cs: 0.330 0.564 0.425
Cs: 0.936 0.575 0.170
Cs: 0.861 0.595 0.925
Cs: 0.170 0.075 0.936
Cs: 0.234 0.564 0.639
Cs: 0.075 0.170 0.436
Cs: 0.564 0.330 0.925
Cs: 0.139 0.734 0.564
Cs: 0.405 0.266 0.330
Cs: 0.925 0.830 0.564
Cs: 0.234 0.670 0.095
Cs: 0.925 0.095 0.861
Cs: 0.905 0.830 0.766
Cs: 0.670 0.234 0.595
Cs: 0.266 0.861 0.936
Cs: 0.936 0.361 0.266
Cs: 0.734 0.595 0.170
Cs: 0.830 0.905 0.266
Cs: 0.405 0.139 0.575
Cs: 0.139 0.405 0.075
Cs: 0.830 0.925 0.064
Cs: 0.266 0.405 0.830
Cs: 0.575 0.936 0.670
Cs: 0.734 0.139 0.064
Cs: 0.595 0.734 0.670
Cs: 0.064 0.639 0.734
Cs: 0.095 0.925 0.361
Cs: 0.361 0.425 0.095
Cs: 0.064 0.425 0.830
Cs: 0.361 0.936 0.766
Cs: 0.595 0.861 0.425
Cs: 0.905 0.075 0.639
Cs: 0.575 0.639 0.405
Cs: 0.670 0.436 0.575
Cs: 0.170 0.095 0.734
Cs: 0.436 0.766 0.861
Cs: 0.425 0.361 0.595
Cs: 0.095 0.170 0.234
Cs: 0.766 0.436 0.361
Cs: 0.075 0.905 0.139
Cd: 0.875 0.250 0.625
Cd: 0.500 0.500 0.000
Cd: 0.125 0.375 0.250
Cd: 0.500 0.500 0.500
Cd: 0.250 0.375 0.625
Cd: 0.250 0.875 0.125
Cd: 0.750 0.125 0.875
Cd: 0.875 0.625 0.750
Cd: 0.500 0.000 0.000
Cd: 0.000 0.000 0.000
Cd: 0.375 0.125 0.750
Cd: 0.000 0.500 0.500
Cd: 0.625 0.750 0.875
Cd: 0.750 0.625 0.375
Cd: 0.125 0.750 0.375
Cd: 0.000 0.500 0.000
Cd: 0.500 0.000 0.500
Cd: 0.375 0.250 0.125
Cd: 0.625 0.875 0.250
Cd: 0.000 0.000 0.500
Bi: 0.250 0.125 0.375
Bi: 0.750 0.375 0.125
Bi: 0.375 0.625 0.250
Bi: 0.125 0.875 0.750
Bi: 0.375 0.750 0.625
Bi: 0.250 0.625 0.875
Bi: 0.125 0.250 0.875
Bi: 0.625 0.250 0.375
Bi: 0.875 0.750 0.125
Bi: 0.625 0.375 0.750
Bi: 0.750 0.875 0.625
Bi: 0.875 0.125 0.250

The calculation puts the magnetization at 0.000 μB/atom. The energy of formation from the pure elements is -22 meV per atom.

# 14
NaPd2RhC after structural relaxation. Source: Alexandria, functional PBE.

Unit cell a=4.233 b=4.233 c=4.026 alpha=90.00 beta=90.00 gamma=90.00
Sites, in units of the cell vectors:
C: 0.000 0.000 0.000
Rh: 0.000 0.000 0.500
Pd: 0.000 0.500 0.000
Pd: 0.500 0.000 0.000
Na: 0.500 0.500 0.500

The calculation puts the magnetization at 0.000 μB/atom. The energy of formation from the pure elements is 49 meV per atom.

# 15
SmGdDy2 after structural relaxation. Source: Alexandria, functional PBE.

Unit cell a=3.575 b=3.575 c=11.834 alpha=81.31 beta=81.31 gamma=60.00
Sites, in units of the cell vectors:
Gd: 0.500 0.500 0.500
Dy: 0.750 0.750 0.749
Dy: 0.250 0.250 0.251
Sm: 0.000 0.000 0.000

The calculation puts the magnetization at 1.818 μB/atom. The energy of formation from the pure elements is 20 meV per atom.

# 16
RbEr2AuSe4 after structural relaxation. Source: Alexandria, functional PBE.

Unit cell a=4.172 b=7.479 c=14.710 alpha=90.00 beta=90.00 gamma=106.19
Sites, in units of the cell vectors:
Au: 0.160 0.319 0.250
Au: 0.840 0.681 0.750
Rb: 0.875 0.750 0.250
Rb: 0.125 0.250 0.750
Se: 0.551 0.102 0.250
Se: 0.259 0.518 0.400
Se: 0.741 0.482 0.600
Se: 0.000 0.000 0.000
Se: 0.449 0.898 0.750
Se: 0.259 0.518 0.100
Se: 0.000 0.000 0.500
Se: 0.741 0.482 0.900
Er: 0.629 0.258 0.070
Er: 0.371 0.742 0.570
Er: 0.629 0.258 0.430
Er: 0.371 0.742 0.930

The calculation puts the magnetization at 0.000 μB/atom. For the energy relative to the elements, uncorrected, the calculation gives -1.41 eV per atom.

# 17
LaZnBr2 after structural relaxation. Source: Alexandria, functional PBE.

Unit cell a=12.066 b=12.066 c=12.066 alpha=19.43 beta=19.43 gamma=19.43
Sites, in units of the cell vectors:
Br: 0.888 0.888 0.888
Br: 0.112 0.112 0.112
Zn: 0.000 0.000 0.000
La: 0.500 0.500 0.500

The calculation puts the magnetization at 0.001 μB/atom. For the energy relative to the elements, uncorrected, the calculation gives -1.06 eV per atom.

# 18
Ba3Ag2Pb3 after structural relaxation. Source: Alexandria, functional PBE.

Unit cell a=5.200 b=6.650 c=17.498 alpha=90.00 beta=90.00 gamma=113.02
Sites, in units of the cell vectors:
Ag: 0.198 0.395 0.102
Ag: 0.198 0.395 0.398
Ag: 0.802 0.605 0.602
Ag: 0.802 0.605 0.898
Ba: 0.899 0.798 0.109
Ba: 0.620 0.240 0.250
Ba: 0.101 0.202 0.609
Ba: 0.899 0.798 0.391
Ba: 0.380 0.760 0.750
Ba: 0.101 0.202 0.891
Pb: 0.677 0.353 0.750
Pb: 0.382 0.763 0.536
Pb: 0.323 0.647 0.250
Pb: 0.382 0.763 0.964
Pb: 0.618 0.237 0.464
Pb: 0.618 0.237 0.036

The calculation puts the magnetization at 0.000 μB/atom. The energy of formation from the pure elements is -422 meV per atom.

# 19
Sc3SnN after structural relaxation. Source: Alexandria, functional PBE.

Unit cell a=3.439 b=8.076 c=8.287 alpha=90.00 beta=114.16 gamma=90.00
Sites, in units of the cell vectors:
N: 0.886 0.750 0.385
N: 0.114 0.250 0.615
Sc: 0.273 0.452 0.777
Sc: 0.532 0.750 0.533
Sc: 0.727 0.952 0.223
Sc: 0.727 0.548 0.223
Sc: 0.273 0.048 0.777
Sc: 0.468 0.250 0.467
Sn: 0.934 0.750 0.934
Sn: 0.066 0.250 0.066

The calculation puts the magnetization at 0.000 μB/atom. For the energy relative to the elements, uncorrected, the calculation gives -0.86 eV per atom.

# 20
BeP2Cl after structural relaxation. Source: Alexandria, functional PBE.

Unit cell a=4.360 b=4.360 c=4.360 alpha=60.00 beta=60.00 gamma=60.00
Sites, in units of the cell vectors:
P: 0.250 0.250 0.250
P: 0.000 0.000 0.000
Cl: 0.750 0.750 0.750
Be: 0.500 0.500 0.500

The calculation puts the magnetization at 0.000 μB/atom. For the energy relative to the elements, uncorrected, the calculation gives 0.74 eV per atom.